Entry 1:
A relaxed structure of LiThSnRu, computed with PBE-GGA.

ΔE_f: -0.425 eV per atom
magnetization: 0.0 μB per cell

The structure in POSCAR format:
```
LiThSnRu
1.0
-4.518 1.689 -0.338
-3.408 -2.634 -2.198
-3.539 -2.027 2.597
Ru Sn Th Li
1 1 1 1
direct
0.500 0.500 0.500
0.750 0.750 0.750
0.250 0.250 0.250
0.000 0.000 0.000
```



Entry 2:
A relaxed structure of LiTm3Sn3Ru2, computed with PBE-GGA.

ΔE_f: -0.523 eV per atom
magnetization: 0.0 μB per cell

The structure in POSCAR format:
```
LiTm3Sn3Ru2
1.0
-0.592 -2.173 -2.800
-4.538 -4.467 4.426
-3.064 5.927 -3.953
Li Tm Sn Ru
1 3 3 2
direct
0.000 0.000 0.000
0.000 0.602 0.602
0.000 0.000 0.398
0.000 0.398 0.000
0.500 0.722 0.000
0.500 0.000 0.722
0.500 0.278 0.278
0.500 0.667 0.333
0.500 0.333 0.667
```



Entry 3:
A relaxed structure of LiUSnRu, computed with PBE-GGA.

ΔE_f: -0.113 eV per atom
magnetization: 1.5 μB per cell

The structure in POSCAR format:
```
LiUSnRu
1.0
4.711 0.000 0.000
2.355 4.080 0.000
2.355 1.360 3.846
Ru U Sn Li
1 1 1 1
direct
0.750 0.750 0.750
0.000 0.000 0.000
0.500 0.500 0.500
0.250 0.250 0.250
```



Entry 4:
A relaxed structure of LiSnRuW, computed with PBE-GGA.

ΔE_f: 0.036 eV per atom
magnetization: 0.0 μB per cell

The structure in POSCAR format:
```
LiSnRuW
1.0
4.429 0.000 0.000
2.215 3.836 0.000
2.215 1.279 3.616
Ru Sn W Li
1 1 1 1
direct
0.250 0.250 0.250
0.500 0.500 0.500
0.000 0.000 0.000
0.750 0.750 0.750
```



Entry 5:
A relaxed structure of Sr2Li2Ru, computed with PBE-GGA.

energy above the lowest structure with this stoichiometry: 0.000 eV/atom
ΔE_f: 0.329 eV per atom
magnetization: 0.0 μB per cell

The structure in POSCAR format:
```
Sr2Li2Ru
1.0
-3.619 -0.611 0.558
0.775 -1.635 3.241
-2.199 7.740 6.556
Ru Li Sr
1 2 2
direct
0.000 0.000 0.000
0.750 0.250 0.500
0.250 0.750 0.500
0.412 0.412 0.175
0.588 0.588 0.825
```



Entry 6:
A relaxed structure of SrLiRu2, computed with PBE-GGA.

energy above the lowest structure with this stoichiometry: 0.439 eV/atom
ΔE_f: 0.632 eV per atom
magnetization: 1.3 μB per cell

The structure in POSCAR format:
```
SrLiRu2
1.0
-1.471 -4.480 2.877
-1.464 -4.638 -2.620
4.085 3.717 -0.101
Li Ru Sr
1 2 1
direct
0.750 0.250 0.500
0.000 0.000 0.000
0.500 0.500 0.000
0.250 0.750 0.500
```



Entry 7:
A relaxed structure of Sr2LiRu, computed with PBE-GGA.

ΔE_f: 0.320 eV per atom
magnetization: 0.0 μB per cell

The structure in POSCAR format:
```
Sr2LiRu
1.0
3.696 0.000 0.000
0.000 3.640 -0.006
0.000 3.655 8.853
Li Ru Sr
1 1 2
direct
0.500 0.250 0.250
0.500 0.750 0.750
0.000 0.053 0.947
0.000 0.447 0.553
```



Entry 8:
A relaxed structure of SrLiRu2, computed with PBE-GGA.

energy above the lowest structure with this stoichiometry: 0.638 eV/atom
ΔE_f: 0.831 eV per atom
magnetization: 0.9 μB per cell

The structure in POSCAR format:
```
SrLiRu2
1.0
9.849 0.017 0.010
9.426 2.853 0.010
9.426 1.403 2.484
Li Ru Sr
1 2 1
direct
0.750 0.750 0.750
0.008 0.008 0.008
0.492 0.492 0.492
0.250 0.250 0.250
```



Number 1: Fermi-level density of states 1.171 states/eV/atom, calculated volume 20.0 Å³ per atom, E_tot -6.078 eV per atom. Number 2: Fermi-level density of states 0.857 states/eV/atom, calculated volume 20.8 Å³ per atom, E_tot -5.622 eV per atom. Number 3: Fermi-level density of states 2.118 states/eV/atom, calculated volume 18.5 Å³ per atom, E_tot -6.733 eV per atom. Number 4: Fermi-level density of states 0.779 states/eV/atom, calculated volume 15.4 Å³ per atom, E_tot -7.000 eV per atom. Number 5: Fermi-level density of states 0.958 states/eV/atom, calculated volume 27.7 Å³ per atom, E_tot -2.965 eV per atom. Number 6: Fermi-level density of states 1.048 states/eV/atom, calculated volume 18.1 Å³ per atom, E_tot -4.905 eV per atom. Number 7: Fermi-level density of states 1.021 states/eV/atom, calculated volume 29.8 Å³ per atom, E_tot -3.318 eV per atom. Number 8: Fermi-level density of states 0.530 states/eV/atom, calculated volume 17.3 Å³ per atom, E_tot -4.706 eV per atom.